Entry 1:
The following is a DFT calculation (PBE) of DyYPu2 after structural relaxation.

The structure in extended XYZ format:
```
4
Lattice="3.4077 0.0000 0.0000 0.0000 3.4077 0.0000 0.0000 0.0000 10.1338" Properties=species:S:1:pos:R:3 pbc="T T T"
Dy 0.0000 0.0000 0.0000
Y 0.0000 0.0000 5.0669
Pu 1.7038 1.7038 2.5166
Pu 1.7038 1.7038 7.6171
```

Energy above the lowest structure with this stoichiometry, meV/atom: 0
Symmetry: P4/mmm (123)
N(E_F), states/eV per cell: 14.77

***

Entry 2:
The following is a DFT calculation (PBE) of Dy3Y2Pu after structural relaxation.

The structure in extended XYZ format:
```
12
Lattice="-5.7271 5.9784 3.1240 5.7271 -5.9784 3.1240 5.7271 5.9784 -3.1240" Properties=species:S:1:pos:R:3 pbc="T T T"
Dy 5.7271 -2.7866 1.5620
Dy 0.0000 0.0000 1.5620
Dy 5.7271 2.7866 1.5620
Dy 0.0000 3.1918 1.5620
Dy 0.0000 0.0000 4.6860
Dy 0.0000 8.7650 1.5620
Y 2.8236 1.2287 0.0000
Y 2.8236 -1.2287 3.1240
Y 2.9035 7.2071 0.0000
Y 2.9035 4.7497 3.1240
Pu 5.7271 0.0000 0.0000
Pu 0.0000 5.9784 0.0000
```

E_tot, eV/atom: -6.25
Symmetry: Ibam (72)
N(E_F), states/eV per cell: 24.19